MnMoS2 after structural relaxation, computed with GGA-PBE.

Results
Formation energy from raw total energies   -96 kJ/mol of formula units
Space-group type   R-3m, No. 166

```
MnMoS2
1.0
3.173 0.000 0.000
-1.587 2.748 0.000
0.000 0.000 23.460
Mn Mo S
3 3 6
Cartesian
0.000 0.000 0.000 Mn
0.000 1.832 15.640 Mn
1.587 0.916 7.820 Mn
0.000 0.000 11.730 Mo
0.000 1.832 3.910 Mo
1.587 0.916 19.550 Mo
0.000 0.000 2.295 S
0.000 0.000 21.165 S
0.000 1.832 13.345 S
0.000 1.832 17.935 S
1.587 0.916 5.525 S
1.587 0.916 10.115 S
```

Ac10Tl3In3 after structural relaxation, computed with GGA-PBE.

Results
Energy of formation   -297 meV per atom
Space-group type   P-62m, No. 189

```
Ac10Tl3In3
1.0
9.841 0.000 0.000
-4.921 8.523 0.000
0.000 0.000 7.445
Ac Tl In
10 3 3
Cartesian
-1.189 2.060 0.000 Ac
-3.736 6.471 3.722 Ac
1.185 2.052 3.722 Ac
2.379 0.000 0.000 Ac
0.000 5.682 1.870 Ac
0.000 5.682 5.574 Ac
4.921 2.841 1.870 Ac
4.921 2.841 5.574 Ac
3.731 6.463 0.000 Ac
7.472 0.000 3.722 Ac
-2.943 5.097 0.000 Tl
1.978 3.426 0.000 Tl
5.886 0.000 0.000 Tl
-1.979 3.428 3.722 In
3.958 0.000 3.722 In
2.942 5.095 3.722 In
```

no.,magnetization (Bohr magnetons per cell)
1,10.737
2,0.000